This record from Alexandria via LeMat-Bulk describes V2SnS after structural relaxation. The functional is PBE. Values from VASP.

```
&SYSTEM
  ibrav = 0, nat = 4, ntyp = 3
/
ATOMIC_SPECIES
S 32.06 S.upf
Sn 118.71 Sn.upf
V 50.94 V.upf
CELL_PARAMETERS angstrom
0.000 3.151 3.151
3.151 0.000 3.151
3.151 3.151 0.000
ATOMIC_POSITIONS angstrom
S 0.000 0.000 0.000
Sn 3.151 3.151 3.151
V 1.575 1.575 1.575
V 4.726 4.726 4.726
```

Properties
Space group: No. 225
N(E_F): 3.3 states/eV/cell
Energy above the lowest structure with this stoichiometry: 0.503 eV per atom
Calculated volume: 62.5 Å³/cell
Raw formation energy: 0.180 eV/atom